# 1
Density functional theory data (PBE) for a relaxed structure of MgScTl2.

Computed properties:
The crystal system is monoclinic. As for the size of the total moment: 0.0 μB per formula unit.

a b c (Å): 11.640 3.470 5.154
angles (deg): 90.00 110.15 90.00
Space group Cm (No. 8)
Unique sites:
Mg 0.000 0.000 0.000 [2 per cell]
Sc 0.251 0.000 0.613 [2 per cell]
Tl 0.008 0.500 0.516 [2 per cell]
Tl 0.257 0.500 0.120 [2 per cell]


# 2
Density functional theory data (PBE) for a relaxed structure of MgSc2Tl.

Computed properties:
The calculation puts the energy above the lowest structure with this stoichiometry at 0.0000 eV/atom. The crystal system is tetragonal. As for the size of the total moment: 0.4 μB per formula unit.

a b c (Å): 4.611 4.611 4.270
angles (deg): 90.00 90.00 90.00
Space group P4/mmm (No. 123)
Unique sites:
Mg 0.000 0.000 0.000 [1 per cell]
Sc 0.000 0.500 0.500 [2 per cell]
Tl 0.500 0.500 0.000 [1 per cell]


# 3
Density functional theory data (PBE) for a relaxed structure of MgScTl.

Computed properties:
The crystal system is cubic. As for the size of the total moment: 0.0 μB per formula unit.

a b c (Å): 6.920 6.920 6.920
angles (deg): 90.00 90.00 90.00
Space group F-43m (No. 216)
Unique sites:
Mg 0.000 0.000 0.000 [4 per cell]
Sc 0.250 0.250 0.250 [4 per cell]
Tl 0.000 0.000 0.500 [4 per cell]


# 4
Density functional theory data (PBE) for a relaxed structure of MgScTl2.

Computed properties:
The crystal system is orthorhombic. As for the size of the total moment: 0.0 μB per formula unit.

a b c (Å): 3.453 4.616 6.264
angles (deg): 90.00 90.00 90.00
Space group Pmm2 (No. 25)
Unique sites:
Mg 0.000 0.000 0.000 [1 per cell]
Sc 0.500 0.500 0.277 [1 per cell]
Tl 0.000 0.000 0.477 [1 per cell]
Tl 0.500 0.500 0.784 [1 per cell]


# 5
Density functional theory data (PBE) for a relaxed structure of MgScTl.

Computed properties:
The crystal system is orthorhombic. As for the size of the total moment: 0.0 μB per formula unit.

a b c (Å): 4.672 13.178 4.631
angles (deg): 90.00 90.00 90.00
Space group Cmmm (No. 65)
Unique sites:
Mg 0.000 0.171 0.000 [4 per cell]
Sc 0.000 0.343 0.500 [4 per cell]
Tl 0.000 0.000 0.500 [2 per cell]
Tl 0.000 0.500 0.000 [2 per cell]


# 6
Density functional theory data (PBE) for a relaxed structure of MgSc2Tl.

Computed properties:
The calculation puts the energy above the lowest structure with this stoichiometry at 0.2839 eV/atom. The crystal system is cubic. As for the size of the total moment: 2.3 μB per formula unit.

a b c (Å): 7.200 7.200 7.200
angles (deg): 90.00 90.00 90.00
Space group F-43m (No. 216)
Unique sites:
Mg 0.000 0.000 0.000 [4 per cell]
Sc 0.000 0.000 0.500 [4 per cell]
Sc 0.250 0.250 0.750 [4 per cell]
Tl 0.250 0.250 0.250 [4 per cell]


# 7
Density functional theory data (PBE) for a relaxed structure of MgScTl2.

Computed properties:
The crystal system is tetragonal. As for the size of the total moment: 0.0 μB per formula unit.

a b c (Å): 7.938 7.938 6.580
angles (deg): 90.00 90.00 90.00
Space group I-42d (No. 122)
Unique sites:
Mg 0.000 0.000 0.000 [4 per cell]
Sc 0.000 0.000 0.500 [4 per cell]
Tl 0.240 0.750 0.125 [8 per cell]


# 8
Density functional theory data (PBE) for a relaxed structure of Mg3Sc4Tl.

Computed properties:
The crystal system is trigonal. As for the size of the total moment: 0.0 μB per formula unit.

a b c (Å): 5.0579 5.0579 24.8899
angles (deg): 90.00 90.00 120.00
Space group R-3m (No. 166, hexagonal axes)
Unique sites:
Mg 0.0000 0.0000 0.0000 [3 per cell]
Mg 0.0000 0.0000 0.2534 [6 per cell]
Sc 0.0000 0.0000 0.1244 [6 per cell]
Sc 0.0000 0.0000 0.3748 [6 per cell]
Tl 0.0000 0.0000 0.5000 [3 per cell]


# 9
Density functional theory data (PBE) for a relaxed structure of MgScTl2.

Computed properties:
The crystal system is tetragonal. As for the size of the total moment: 0.0 μB per formula unit.

a b c (Å): 4.806 4.806 4.083
angles (deg): 90.00 90.00 90.00
Space group P4/mmm (No. 123)
Unique sites:
Mg 0.000 0.000 0.000 [1 per cell]
Sc 0.500 0.500 0.000 [1 per cell]
Tl 0.000 0.500 0.500 [2 per cell]


# 10
Density functional theory data (PBE) for a relaxed structure of Mg5Sc6Tl.

Computed properties:
The crystal system is orthorhombic. As for the size of the total moment: 0.0 μB per formula unit.

a b c (Å): 5.073 15.279 7.132
angles (deg): 90.00 90.00 90.00
Space group Cmmm (No. 65)
Unique sites:
Mg 0.000 0.000 0.000 [2 per cell]
Mg 0.000 0.329 0.500 [4 per cell]
Mg 0.000 0.334 0.000 [4 per cell]
Sc 0.000 0.168 0.247 [8 per cell]
Sc 0.000 0.500 0.247 [4 per cell]
Tl 0.000 0.000 0.500 [2 per cell]


# 11
Density functional theory data (PBE) for a relaxed structure of Mg7ScTl4.

Computed properties:
The crystal system is monoclinic. As for the size of the total moment: 0.4 μB per formula unit.

a b c (Å): 12.632 5.587 10.749
angles (deg): 90.00 125.07 90.00
Space group C2/m (No. 12)
Unique sites:
Mg 0.000 0.000 0.000 [2 per cell]
Mg 0.087 0.500 0.436 [4 per cell]
Mg 0.187 0.000 0.903 [4 per cell]
Mg 0.229 0.000 0.658 [4 per cell]
Sc 0.000 0.500 0.000 [2 per cell]
Tl 0.098 0.000 0.324 [4 per cell]
Tl 0.196 0.500 0.774 [4 per cell]


# 12
Density functional theory data (PBE) for a relaxed structure of MgScTl.

Computed properties:
The crystal system is triclinic. As for the size of the total moment: 0.0 μB per formula unit.

a b c (Å): 4.889 5.967 5.974
angles (deg): 66.69 65.93 65.90
Space group P-1 (No. 2)
Unique sites:
Mg 0.164 0.332 0.339 [2 per cell]
Sc 0.498 0.249 0.756 [2 per cell]
Tl 0.174 0.824 0.830 [2 per cell]


# 13
Density functional theory data (PBE) for a relaxed structure of MgSc3Tl.

Computed properties:
The calculation puts the energy above the lowest structure with this stoichiometry at 0.1724 eV/atom. The crystal system is orthorhombic. As for the size of the total moment: 0.0 μB per formula unit.

a b c (Å): 6.165 9.151 8.753
angles (deg): 90.00 90.00 90.00
Space group Pnma (No. 62)
Unique sites:
Mg 0.231 0.250 0.005 [4 per cell]
Sc 0.096 0.562 0.827 [8 per cell]
Sc 0.238 0.750 0.144 [4 per cell]
Tl 0.000 0.000 0.500 [4 per cell]


# 14
Density functional theory data (PBE) for a relaxed structure of MgSc2Tl5.

Computed properties:
The crystal system is tetragonal. As for the size of the total moment: 0.0 μB per formula unit.

a b c (Å): 6.688 6.688 8.788
angles (deg): 90.00 90.00 90.00
Space group I4mm (No. 107)
Unique sites:
Mg 0.000 0.000 0.000 [2 per cell]
Sc 0.000 0.500 0.001 [4 per cell]
Tl 0.000 0.000 0.501 [2 per cell]
Tl 0.250 0.250 0.251 [8 per cell]


# 15
Density functional theory data (PBE) for a relaxed structure of MgScTl2.

Computed properties:
The crystal system is cubic. As for the size of the total moment: 0.0 μB per formula unit.

a b c (Å): 7.430 7.430 7.430
angles (deg): 90.00 90.00 90.00
Space group F-43m (No. 216)
Unique sites:
Mg 0.000 0.000 0.000 [4 per cell]
Sc 0.250 0.250 0.750 [4 per cell]
Tl 0.000 0.000 0.500 [4 per cell]
Tl 0.250 0.250 0.250 [4 per cell]


# 16
Density functional theory data (PBE) for a relaxed structure of MgSc2Tl4.

Computed properties:
The crystal system is tetragonal. As for the size of the total moment: 0.0 μB per formula unit.

a b c (Å): 7.040 7.040 7.296
angles (deg): 90.00 90.00 90.00
Space group I4/mmm (No. 139)
Unique sites:
Mg 0.000 0.000 0.000 [2 per cell]
Sc 0.000 0.500 0.000 [4 per cell]
Tl 0.250 0.250 0.250 [8 per cell]


# 17
Density functional theory data (PBE) for a relaxed structure of MgSc4Tl2.

Computed properties:
The crystal system is tetragonal. As for the size of the total moment: 2.3 μB per formula unit.

a b c (Å): 5.436 5.436 12.314
angles (deg): 90.00 90.00 90.00
Space group I4/mmm (No. 139)
Unique sites:
Mg 0.000 0.000 0.000 [2 per cell]
Sc 0.000 0.500 0.000 [4 per cell]
Sc 0.000 0.500 0.250 [4 per cell]
Tl 0.000 0.000 0.368 [4 per cell]


# 18
Density functional theory data (PBE) for a relaxed structure of MgScTl.

Computed properties:
The crystal system is tetragonal. As for the size of the total moment: 0.0 μB per formula unit.

a b c (Å): 4.512 4.512 7.363
angles (deg): 90.00 90.00 90.00
Space group P4/nmm (No. 129, origin choice 2)
Unique sites:
Mg 0.250 0.250 0.216 [2 per cell]
Sc 0.250 0.250 0.805 [2 per cell]
Tl 0.250 0.750 0.500 [2 per cell]


# 19
Density functional theory data (PBE) for a relaxed structure of MgSc2Tl.

Computed properties:
The calculation puts the energy above the lowest structure with this stoichiometry at 0.0234 eV/atom. The crystal system is cubic. As for the size of the total moment: 0.0 μB per formula unit.

a b c (Å): 7.143 7.143 7.143
angles (deg): 90.00 90.00 90.00
Space group Fm-3m (No. 225)
Unique sites:
Mg 0.000 0.000 0.000 [4 per cell]
Sc 0.250 0.250 0.250 [8 per cell]
Tl 0.000 0.000 0.500 [4 per cell]


# 20
Density functional theory data (PBE) for a relaxed structure of Mg3ScTl4.

Computed properties:
The crystal system is tetragonal. As for the size of the total moment: 0.1 μB per formula unit.

a b c (Å): 3.553 3.553 15.402
angles (deg): 90.00 90.00 90.00
Space group P4/mmm (No. 123)
Unique sites:
Mg 0.000 0.000 0.000 [1 per cell]
Mg 0.000 0.000 0.253 [2 per cell]
Sc 0.000 0.000 0.500 [1 per cell]
Tl 0.500 0.500 0.126 [2 per cell]
Tl 0.500 0.500 0.376 [2 per cell]


# 21
Density functional theory data (PBE) for a relaxed structure of Mg2Sc2Tl.

Computed properties:
The calculation puts the energy above the lowest structure with this stoichiometry at 0.2238 eV/atom. The crystal system is tetragonal. As for the size of the total moment: 0.7 μB per formula unit.

a b c (Å): 8.105 8.105 3.798
angles (deg): 90.00 90.00 90.00
Space group P4/mbm (No. 127)
Unique sites:
Mg 0.152 0.348 0.000 [4 per cell]
Sc 0.144 0.644 0.500 [4 per cell]
Tl 0.000 0.000 0.500 [2 per cell]


# 22
Density functional theory data (PBE) for a relaxed structure of MgScTl.

Computed properties:
The crystal system is orthorhombic. As for the size of the total moment: 0.0 μB per formula unit.

a b c (Å): 4.343 4.639 13.753
angles (deg): 90.00 90.00 90.00
Space group Amm2 (No. 38)
Unique sites:
Mg 0.000 0.000 0.000 [2 per cell]
Mg 0.500 0.000 0.167 [2 per cell]
Sc 0.500 0.000 0.505 [2 per cell]
Sc 0.500 0.000 0.827 [2 per cell]
Tl 0.000 0.000 0.347 [2 per cell]
Tl 0.000 0.000 0.661 [2 per cell]


# 23
Density functional theory data (PBE) for a relaxed structure of Mg9Sc4Tl11.

Computed properties:
The crystal system is orthorhombic. As for the size of the total moment: 0.0 μB per formula unit.

a b c (Å): 14.824 23.140 3.452
angles (deg): 90.00 90.00 90.00
Space group Cmmm (No. 65)
Unique sites:
Mg 0.000 0.000 0.000 [2 per cell]
Mg 0.110 0.242 0.000 [8 per cell]
Mg 0.131 0.424 0.000 [8 per cell]
Sc 0.150 0.097 0.000 [8 per cell]
Tl 0.000 0.149 0.500 [4 per cell]
Tl 0.000 0.336 0.500 [4 per cell]
Tl 0.000 0.500 0.500 [2 per cell]
Tl 0.225 0.000 0.500 [4 per cell]
Tl 0.234 0.323 0.500 [8 per cell]


# 24
Density functional theory data (PBE) for a relaxed structure of MgScTl2.

Computed properties:
The crystal system is monoclinic. As for the size of the total moment: 0.0 μB per formula unit.

a b c (Å): 9.710 3.530 5.880
angles (deg): 90.00 102.06 90.00
Space group C2/m (No. 12)
Unique sites:
Mg 0.000 0.000 0.000 [2 per cell]
Sc 0.000 0.500 0.500 [2 per cell]
Tl 0.246 0.500 0.248 [4 per cell]


# 25
Density functional theory data (PBE) for a relaxed structure of MgSc2Tl.

Computed properties:
The calculation puts the energy above the lowest structure with this stoichiometry at 0.0228 eV/atom. The crystal system is tetragonal. As for the size of the total moment: 0.4 μB per formula unit.

a b c (Å): 4.623 4.623 8.530
angles (deg): 90.00 90.00 90.00
Space group I4/mmm (No. 139)
Unique sites:
Mg 0.000 0.000 0.000 [2 per cell]
Sc 0.000 0.500 0.250 [4 per cell]
Tl 0.000 0.000 0.500 [2 per cell]


| no. | formation enthalpy at 0 K (eV/atom) |
| --- | --- |
| 1 | -0.120 |
| 2 | -0.216 |
| 3 | 0.273 |
| 4 | -0.060 |
| 5 | -0.099 |
| 6 | 0.068 |
| 7 | 0.047 |
| 8 | -0.128 |
| 9 | -0.184 |
| 10 | -0.103 |
| 11 | 0.139 |
| 12 | -0.117 |
| 13 | 0.002 |
| 14 | -0.111 |
| 15 | 0.103 |
| 16 | -0.139 |
| 17 | 0.209 |
| 18 | 0.073 |
| 19 | -0.193 |
| 20 | -0.076 |
| 21 | 0.104 |
| 22 | -0.162 |
| 23 | -0.042 |
| 24 | -0.108 |
| 25 | -0.193 |